# 1
The following is a DFT calculation (PBE) of a geometry-optimized SrCuSb2I structure.

Cell and atoms, written as POSCAR:
```
SrCuSb2I
1.0
-0.918 -0.602 -4.854
2.322 -4.400 0.106
-5.760 -3.004 1.462
I Sb Cu Sr
1 2 1 1
direct
0.000 0.000 0.500
0.000 0.500 0.000
0.500 0.000 0.000
0.000 0.000 0.000
0.500 0.500 0.500
```

Properties
theoretical density = 5252 kg/m³
DFT total energy = -3.335 eV per atom
space-group type = P4/mmm (123)

***

# 2
The following is a DFT calculation (PBE) of a geometry-optimized K3OsF structure.

Cell and atoms, written as POSCAR:
```
K3OsF
1.0
-0.882 4.383 -2.761
-2.465 -2.819 -3.687
-4.556 0.676 2.529
K Os F
3 1 1
direct
0.000 0.500 0.000
0.000 0.000 0.500
0.500 0.000 0.000
0.500 0.500 0.500
0.000 0.000 0.000
```

Properties
theoretical density = 3736 kg/m³
DFT total energy = -3.292 eV per atom
space-group type = Pm-3m (221)

***

# 3
The following is a DFT calculation (PBE) of a geometry-optimized CsHgH structure.

Cell and atoms, written as POSCAR:
```
CsHgH
1.0
4.389 -0.002 -0.554
0.000 4.437 -0.007
-3.267 0.019 9.863
Cs Hg H
2 2 2
direct
0.571 0.250 0.323
0.429 0.750 0.677
0.179 0.250 0.925
0.821 0.750 0.075
0.923 0.250 0.670
0.077 0.750 0.330
```

Properties
theoretical density = 6036 kg/m³
DFT total energy = -1.622 eV per atom
space-group type = P2_1/m (11)

***

# 4
The following is a DFT calculation (PBE) of a geometry-optimized Li8MgSn2 structure.

Cell and atoms, written as POSCAR:
```
Li8MgSn2
1.0
4.701 0.052 -1.257
-0.646 5.458 -2.392
-0.321 0.529 7.934
Li Mg Sn
8 1 2
direct
0.167 0.388 0.292
0.872 0.082 0.724
0.740 0.441 0.001
0.710 0.209 0.413
0.290 0.791 0.587
0.260 0.559 0.999
0.128 0.918 0.276
0.833 0.612 0.708
0.500 0.000 0.000
0.679 0.685 0.350
0.321 0.315 0.650
```

Properties
theoretical density = 2532 kg/m³
energy of formation from the pure elements = -0.213 eV per atom
DFT total energy = -2.478 eV per atom
space-group type = P-1 (2)

***

# 5
The following is a DFT calculation (PBE) of a geometry-optimized TlGa4H2 structure.

Cell and atoms, written as POSCAR:
```
TlGa4H2
1.0
3.045 0.000 0.000
0.000 4.545 -0.887
0.000 -0.633 8.843
Tl Ga H
1 4 2
direct
0.000 0.500 0.000
0.500 0.128 0.256
0.000 0.312 0.624
0.500 0.872 0.744
0.000 0.688 0.376
0.500 0.239 0.478
0.500 0.761 0.522
```

Properties
theoretical density = 6677 kg/m³
DFT total energy = -2.786 eV per atom
space-group type = Cmmm (65)

***

# 6
The following is a DFT calculation (PBE) of a geometry-optimized KAs2H2O6 structure.

Cell and atoms, written as POSCAR:
```
KAs2H2O6
1.0
5.445 1.136 0.016
3.602 5.744 -0.163
-0.546 -2.892 6.447
K As H O
1 2 2 6
direct
0.500 0.000 0.500
0.817 0.414 0.952
0.183 0.586 0.048
0.198 0.884 0.802
0.802 0.116 0.198
0.385 0.620 0.880
0.053 0.453 0.159
0.094 0.040 0.746
0.947 0.547 0.841
0.906 0.960 0.254
0.615 0.380 0.120
```

Properties
theoretical density = 2759 kg/m³
DFT total energy = -5.428 eV per atom
space-group type = P-1 (2)

***

# 7
The following is a DFT calculation (PBE) of a geometry-optimized KCaCl2 structure.

Cell and atoms, written as POSCAR:
```
KCaCl2
1.0
-6.448 1.285 0.610
-0.674 -5.732 -3.208
1.581 2.778 5.778
Ca K Cl
1 1 2
direct
0.250 0.750 0.500
0.750 0.250 0.500
0.039 0.039 0.000
0.461 0.461 0.000
```

Properties
theoretical density = 1568 kg/m³
DFT total energy = -3.329 eV per atom
space-group type = Immm (71)

***

# 8
The following is a DFT calculation (PBE) of a geometry-optimized RbSrBiB2 structure.

Cell and atoms, written as POSCAR:
```
RbSrBiB2
1.0
-0.529 4.738 1.746
0.123 -2.094 5.720
5.048 0.532 0.086
Sr B Bi Rb
1 2 1 1
direct
0.000 0.500 0.000
0.000 0.000 0.500
0.500 0.000 0.000
0.500 0.500 0.500
0.000 0.000 0.000
```

Properties
theoretical density = 4269 kg/m³
energy of formation from the pure elements = 2.076 eV per atom
DFT total energy = -1.901 eV per atom
space-group type = P4/mmm (123)